(1)
Cs2RbNp3O12 after structural relaxation. Source: the Alexandria database, functional PBE.

Cell: 7.891 7.891 7.891 Å, 61.67 61.67 61.67°
Atoms (fractional coordinates):
Cs: 0.611 0.611 0.611
Cs: 0.389 0.389 0.389
Rb: 0.000 0.000 0.000
Np: 0.500 0.000 0.000
Np: 0.000 0.500 0.000
Np: 0.000 0.000 0.500
O: 0.278 0.278 0.899
O: 0.882 0.882 0.450
O: 0.450 0.882 0.882
O: 0.899 0.278 0.278
O: 0.882 0.450 0.882
O: 0.278 0.899 0.278
O: 0.722 0.722 0.101
O: 0.118 0.118 0.550
O: 0.550 0.118 0.118
O: 0.101 0.722 0.722
O: 0.118 0.550 0.118
O: 0.722 0.101 0.722

## Properties
The value obtained for the volume is 360 Å³/cell. As for the space group: R-3m, No. 166. The formation energy from raw total energies is -2.48 eV/atom. The value obtained for the spin magnetization is 0.00 μB per formula unit.


(2)
CsRb2NpO5 after structural relaxation. Source: the Alexandria database, functional PBE.

Cell: 4.401 6.734 7.621 Å, 116.22 106.78 90.00°
Atoms (fractional coordinates):
Cs: 0.000 0.500 0.000
Rb: 0.227 0.227 0.454
Rb: 0.773 0.773 0.546
Np: 0.500 0.000 0.000
O: 0.609 0.905 0.218
O: 0.391 0.095 0.782
O: 0.391 0.687 0.782
O: 0.609 0.313 0.218
O: 0.000 0.000 0.000

## Properties
The value obtained for the volume is 192 Å³/cell. As for the space group: Immm, No. 71. The formation energy from raw total energies is -2.24 eV/atom. The value obtained for the spin magnetization is 0.00 μB per formula unit.


(3)
Cs3RbNp2O9 after structural relaxation. Source: the Alexandria database, functional PBE.

Cell: 6.472 6.472 8.163 Å, 90.00 90.00 120.00°
Atoms (fractional coordinates):
Cs: 0.333 0.667 0.654
Cs: 0.000 0.000 0.000
Cs: 0.667 0.333 0.346
Rb: 0.000 0.000 0.500
Np: 0.333 0.667 0.140
Np: 0.667 0.333 0.860
O: 0.807 0.193 0.721
O: 0.807 0.614 0.721
O: 0.386 0.193 0.721
O: 0.614 0.807 0.279
O: 0.193 0.386 0.279
O: 0.193 0.807 0.279
O: 0.500 0.000 0.000
O: 0.000 0.500 0.000
O: 0.500 0.500 0.000

## Properties
The value obtained for the volume is 296 Å³/cell. As for the space group: P-3m1, No. 164. The formation energy from raw total energies is -2.29 eV/atom. The value obtained for the spin magnetization is 0.00 μB per formula unit.